No. 1
Here is a relaxed structure of PmDyAg6 from Alexandria via LeMat-Bulk. Energies are from PBE-GGA. Values from VASP.

Quantum ESPRESSO input file:
```
&SYSTEM
  ibrav = 0, nat = 8, ntyp = 3
/
ATOMIC_SPECIES
Dy 162.50 Dy.upf
Ag 107.87 Ag.upf
Pm 145.00 Pm.upf
CELL_PARAMETERS angstrom
4.416 0.000 1.206
2.099 4.638 1.003
0.112 -0.476 8.282
ATOMIC_POSITIONS angstrom
Dy 0.000 0.000 0.000
Ag 3.814 3.403 3.411
Ag 3.630 0.425 4.084
Pm 1.105 2.081 4.642
Ag 4.710 2.478 8.819
Ag 2.996 3.738 6.407
Ag 1.916 1.684 1.672
Ag 2.813 0.759 7.079
```

Summary:
energy relative to the elements	-0.197	eV per atom
magnetic moment	0.00	μB per cell
symmetry	C2/m (12)



No. 2
Here is a relaxed structure of Sc5Ga6 from Alexandria via LeMat-Bulk. Energies are from PBE-GGA. Values from VASP.

Quantum ESPRESSO input file:
```
&SYSTEM
  ibrav = 0, nat = 11, ntyp = 2
/
ATOMIC_SPECIES
Sc 44.96 Sc.upf
Ga 69.72 Ga.upf
CELL_PARAMETERS angstrom
-4.333 -0.669 -1.698
2.459 -3.623 -4.843
0.263 -3.602 7.228
ATOMIC_POSITIONS angstrom
Sc 1.229 -1.811 -2.421
Sc -0.462 -3.937 2.711
Ga 0.045 -6.810 2.537
Ga -3.312 -3.317 3.227
Ga 0.344 -2.579 0.130
Ga -1.656 -1.084 -1.850
Sc -1.150 -3.957 -2.024
Sc -2.410 -2.412 0.581
Ga -1.956 -5.314 0.557
Sc 0.799 -5.482 0.106
Ga 1.700 -4.577 -2.540
```

Summary:
energy relative to the elements	-0.508	eV per atom
magnetic moment	0.00	μB per cell
symmetry	C2/m (12)



No. 3
Here is a relaxed structure of Na3DyCr2Se6 from Alexandria via LeMat-Bulk. Energies are from PBE-GGA. Values from VASP.

Quantum ESPRESSO input file:
```
&SYSTEM
  ibrav = 0, nat = 12, ntyp = 4
/
ATOMIC_SPECIES
Na 22.99 Na.upf
Se 78.96 Se.upf
Dy 162.50 Dy.upf
Cr 52.00 Cr.upf
CELL_PARAMETERS angstrom
-0.705 3.273 -5.823
2.723 -6.140 0.092
-7.013 -1.856 1.110
ATOMIC_POSITIONS angstrom
Na -2.498 -2.361 -2.311
Se -3.408 -5.317 -2.340
Se -0.046 -2.422 -3.828
Dy 0.000 0.000 0.000
Na -3.661 0.832 -4.317
Se -4.949 -2.301 -0.794
Se -4.651 -1.905 -4.484
Cr 0.435 0.142 -3.855
Se -0.344 -2.818 -0.138
Na -1.335 -5.555 -0.304
Se -1.587 0.594 -2.281
Cr 1.582 -3.008 -1.876
```

Summary:
magnetic moment	6.00	μB per cell
symmetry	C2/m (12)
energy relative to the elements, uncorrected	-1.076	eV/atom



No. 4
Here is a relaxed structure of AcMg6Cd12 from Alexandria via LeMat-Bulk. Energies are from PBE-GGA. Values from VASP.

Quantum ESPRESSO input file:
```
&SYSTEM
  ibrav = 0, nat = 19, ntyp = 3
/
ATOMIC_SPECIES
Cd 112.41 Cd.upf
Ac 227.00 Ac.upf
Mg 24.30 Mg.upf
CELL_PARAMETERS angstrom
-4.694 2.244 6.204
-4.208 -5.937 -3.551
6.167 -3.866 3.549
ATOMIC_POSITIONS angstrom
Cd -2.890 -4.160 5.437
Cd -1.179 -6.963 -0.695
Ac 0.000 0.000 0.000
Mg -2.533 -4.667 0.378
Cd 0.033 -1.341 3.218
Cd -0.159 -5.696 4.769
Cd -1.557 -0.595 6.897
Cd 0.155 -3.398 0.765
Cd -5.405 -4.585 0.338
Cd 2.670 -2.973 5.864
Mg -2.732 -1.314 4.376
Mg -0.202 -2.891 5.824
Mg -0.003 -6.244 1.826
Mg 1.718 -3.818 3.287
Cd 2.859 -6.157 2.067
Cd -2.768 -6.217 2.983
Cd -5.594 -1.401 4.134
Mg -4.454 -3.740 2.915
Cd -2.577 -1.862 1.433
```

Summary:
energy relative to the elements	-0.023	eV per atom
magnetic moment	0.00	μB per cell
symmetry	R-3m (166)